Computed, not measured: BaTbF6 after structural relaxation at the GGA-PBE level of DFT.

Cell lengths 7.2827, 8.3098, 8.4335 Å; angles 102.96, 95.02, 112.75 degrees
Closest atoms and distances in Å follow each position.
Positions (direct):
F 0.2309 0.0370 0.0739  1 F 2.22, 2 Tb 2.23-2.32
F 0.4961 0.0952 0.7015  1 Tb 2.22
F 0.7691 0.9630 0.9261  1 F 2.22, 2 Tb 2.23-2.32
Tb 0.1676 0.2629 0.2440  8 F 2.20-2.32
Tb 0.2442 0.7758 0.0859  8 F 2.19-2.40
F 0.8595 0.5923 0.5058  1 Tb 2.25
F 0.9275 0.0501 0.3172  1 Tb 2.20
F 0.4316 0.6248 0.9825  1 F 2.08, 1 Tb 2.29
F 0.6519 0.7976 0.5664  1 Tb 2.25, 1 F 2.32
Tb 0.7558 0.2242 0.9141  8 F 2.19-2.40
F 0.5039 0.9048 0.2985  1 Tb 2.22
F 0.5684 0.3752 0.0175  1 F 2.08, 1 Tb 2.29
F 0.5123 0.3513 0.2505  2 F 2.08-2.32, 1 Tb 2.32
F 0.2959 0.5598 0.2462  1 Tb 2.27
Ba 0.2785 0.7607 0.5470  9 F 2.50-2.77
Ba 0.7169 0.7031 0.2641  10 F 2.58-2.80
F 0.4877 0.6487 0.7495  2 F 2.08-2.32, 1 Tb 2.32
F 0.7041 0.4402 0.7538  1 Tb 2.27
F 0.3481 0.2024 0.4336  1 Tb 2.24, 1 F 2.32
F 0.0933 0.2467 0.9789  2 Tb 2.22-2.40, 1 F 2.43
Ba 0.2831 0.2969 0.7359  10 F 2.58-2.80
F 0.0725 0.9499 0.6828  1 Tb 2.20
F 0.8943 0.1904 0.6954  1 Tb 2.19
F 0.1405 0.4077 0.4942  1 Tb 2.25
F 0.8697 0.2948 0.1913  2 Tb 2.27-2.30
F 0.0000 0.5000 0.0000  2 Tb 2.19, 2 F 2.43
Tb 0.8324 0.7371 0.7560  8 F 2.20-2.32
F 0.1057 0.8096 0.3046  1 Tb 2.19
Ba 0.7215 0.2393 0.4530  9 F 2.50-2.77
F 0.5000 0.0000 0.0000  2 F 2.22, 2 Tb 2.37
F 0.9067 0.7533 0.0211  2 Tb 2.22-2.40, 1 F 2.43
F 0.1303 0.7052 0.8087  2 Tb 2.27-2.30

Volume   450 Å³/cell
Space group   P-1
DFT total energy   -181.67 eV for the cell shown